# 1
Below is CsCrFe2Br8 after structural relaxation, with properties calculated at the PBE level.

abc: 6.620 6.620 10.327
angles: 83.79 83.79 68.12
Sites, in units of the cell vectors:
1 Br 0.230 0.230 0.004
2 Br 0.222 0.733 0.181
3 Br 0.733 0.222 0.181
4 Br 0.321 0.321 0.596
5 Br 0.267 0.778 0.819
6 Br 0.679 0.679 0.404
7 Br 0.770 0.770 0.996
8 Br 0.778 0.267 0.819
9 Cs 0.000 0.000 0.500
10 Fe 0.620 0.620 0.191
11 Fe 0.380 0.380 0.809
12 Cr 0.000 0.000 0.000

Values from the calculation:
space group	C2/m (12)
DFT total energy	-49.44	eV for the cell shown
M_tot	0.95	μB per atom


# 2
Below is CsCrGa2Br8 after structural relaxation, with properties calculated at the PBE level.

abc: 6.921 6.921 10.907
angles: 71.50 71.50 60.00
Sites, in units of the cell vectors:
1 Br 0.616 0.266 0.163
2 Br 0.734 0.045 0.837
3 Br 0.266 0.955 0.163
4 Br 0.045 0.384 0.837
5 Br 0.384 0.734 0.837
6 Br 0.177 0.177 0.470
7 Br 0.823 0.823 0.530
8 Br 0.955 0.616 0.163
9 Cr 0.000 0.000 0.000
10 Ga 0.255 0.255 0.235
11 Ga 0.745 0.745 0.765
12 Cs 0.500 0.500 0.500

Values from the calculation:
space group	R-3 (148)
DFT total energy	-40.44	eV for the cell shown
M_tot	0.42	μB per atom


# 3
Below is Cs2CrGaBr6 after structural relaxation, with properties calculated at the PBE level.

abc: 7.844 7.844 7.843
angles: 60.00 60.00 90.00
Sites, in units of the cell vectors:
1 Cs 0.750 0.250 0.500
2 Cs 0.250 0.750 0.500
3 Br 0.270 0.270 0.000
4 Br 0.270 0.270 0.460
5 Br 0.730 0.270 0.000
6 Br 0.270 0.730 0.000
7 Br 0.730 0.730 0.000
8 Br 0.730 0.730 0.540
9 Cr 0.500 0.500 0.000
10 Ga 0.000 0.000 0.000

Values from the calculation:
space group	Fm-3m (225)
DFT total energy	-36.08	eV for the cell shown
M_tot	0.30	μB per atom


# 4
Below is CsCrGe2Br8 after structural relaxation, with properties calculated at the PBE level.

abc: 7.106 7.125 9.425
angles: 89.80 89.95 59.85
Sites, in units of the cell vectors:
1 Ge 0.334 0.333 0.847
2 Ge 0.666 0.667 0.153
3 Br 0.259 0.686 0.156
4 Br 0.686 0.055 0.155
5 Br 0.054 0.258 0.155
6 Br 0.741 0.314 0.844
7 Br 0.668 0.666 0.415
8 Br 0.332 0.334 0.585
9 Br 0.314 0.945 0.845
10 Br 0.946 0.742 0.845
11 Cs 0.000 0.000 0.500
12 Cr 0.000 0.000 0.000

Values from the calculation:
space group	P-1 (2)
DFT total energy	-43.02	eV for the cell shown
M_tot	0.25	μB per atom


# 5
Below is Cs2CrGeBr6 after structural relaxation, with properties calculated at the PBE level.

abc: 7.752 7.752 7.757
angles: 60.02 60.02 90.00
Sites, in units of the cell vectors:
1 Br 0.257 0.257 0.486
2 Br 0.742 0.742 0.000
3 Br 0.742 0.258 0.000
4 Br 0.743 0.743 0.514
5 Br 0.258 0.742 0.000
6 Br 0.258 0.258 0.000
7 Cr 0.500 0.500 0.000
8 Cs 0.750 0.250 0.500
9 Cs 0.250 0.750 0.500
10 Ge 0.000 0.000 0.000

Values from the calculation:
space group	I4/mmm (139)
DFT total energy	-36.91	eV for the cell shown
M_tot	0.40	μB per atom


# 6
Below is Cs2CrHBr6 after structural relaxation, with properties calculated at the PBE level.

abc: 7.126 7.126 7.899
angles: 63.19 63.19 90.00
Sites, in units of the cell vectors:
1 Br 0.205 0.205 0.589
2 Br 0.257 0.743 0.000
3 Br 0.743 0.257 0.000
4 Br 0.795 0.795 0.411
5 Br 0.257 0.257 0.000
6 Br 0.743 0.743 0.000
7 Cs 0.750 0.250 0.500
8 Cs 0.250 0.750 0.500
9 Cr 0.000 0.000 0.000
10 H 0.500 0.500 0.000

Values from the calculation:
space group	I4/mmm (139)
DFT total energy	-33.03	eV for the cell shown
M_tot	0.30	μB per atom


# 7
Below is Cs2CrHgBr6 after structural relaxation, with properties calculated at the PBE level.

abc: 7.842 7.843 11.130
angles: 90.00 90.00 90.00
Sites, in units of the cell vectors:
1 Cs 0.000 0.250 0.750
2 Cs 0.500 0.750 0.750
3 Cs 0.500 0.750 0.250
4 Cs 0.000 0.250 0.250
5 Br 0.500 0.250 0.269
6 Br 0.732 0.017 0.500
7 Br 0.232 0.983 0.000
8 Br 0.500 0.250 0.731
9 Br 0.233 0.518 0.000
10 Br 0.768 0.983 0.000
11 Br 0.000 0.750 0.231
12 Br 0.767 0.518 0.000
13 Br 0.000 0.750 0.769
14 Br 0.267 0.482 0.500
15 Br 0.268 0.017 0.500
16 Br 0.733 0.482 0.500
17 Hg 0.500 0.250 0.000
18 Hg 0.000 0.750 0.500
19 Cr 0.000 0.750 0.000
20 Cr 0.500 0.250 0.500

Values from the calculation:
space group	Pmmn (59)
DFT total energy	-64.85	eV for the cell shown
M_tot	0.38	μB per atom


# 8
Below is CsHoCrBr6 after structural relaxation, with properties calculated at the PBE level.

abc: 7.128 7.128 8.216
angles: 90.01 89.99 59.98
Sites, in units of the cell vectors:
1 Ho 0.333 0.333 0.500
2 Br 0.631 0.381 0.692
3 Br 0.631 0.988 0.308
4 Br 0.988 0.632 0.692
5 Br 0.381 0.988 0.692
6 Br 0.381 0.631 0.308
7 Br 0.988 0.381 0.308
8 Cr 0.667 0.667 0.500
9 Cs 0.000 0.000 0.000

Values from the calculation:
space group	P312 (149)
DFT total energy	-38.08	eV for the cell shown
M_tot	0.44	μB per atom